DFT (PBE) results for a relaxed Ca3GeAs2Pt9 crystal.

Structure (POSCAR):
```
Ca3GeAs2Pt9
1.0
6.578 0.000 0.000
-3.289 5.697 0.000
0.000 0.000 8.635
Ca Pt As Ge
3 9 2 1
direct
0.667 0.333 0.297
0.000 0.000 0.000
0.333 0.667 0.703
0.277 0.139 0.720
0.500 0.500 0.000
0.000 0.500 0.000
0.139 0.277 0.280
0.723 0.861 0.280
0.500 0.000 0.000
0.861 0.723 0.720
0.139 0.861 0.280
0.861 0.139 0.720
0.667 0.333 0.807
0.333 0.667 0.193
0.000 0.000 0.500
```

Calculated values
Theoretical density in Mg/m³: 10.769
Formation energy from the elements in kJ per mole of atoms: -48.32
DOS(E_F) in states/eV/cell: 4.94
E_tot in eV per atom: -5.453
Crystal system: trigonal
Total magnetic moment in μB per atom: 0.000

DFT (PBE) results for a relaxed Ca2GeAsRh6 crystal.

Structure (POSCAR):
```
Ca2GeAsRh6
1.0
6.513 0.000 0.001
0.000 6.514 0.001
3.257 3.258 4.607
Ge Rh Ca As
1 6 2 1
direct
0.000 0.000 0.000
0.251 0.251 0.000
0.749 0.749 0.502
0.749 0.749 0.000
0.251 0.749 0.000
0.749 0.251 0.000
0.251 0.251 0.498
0.250 0.750 0.500
0.750 0.250 0.500
0.500 0.500 0.000
```

Calculated values
Theoretical density in Mg/m³: 7.180
Formation energy from the elements in kJ per mole of atoms: -19.14
DOS(E_F) in states/eV/cell: 9.19
E_tot in eV per atom: -5.936
Crystal system: cubic
Total magnetic moment in μB per atom: 0.000

DFT (PBE) results for a relaxed Ca3GeAs2Rh9 crystal.

Structure (POSCAR):
```
Ca3GeAs2Rh9
1.0
6.324 0.000 0.000
-3.162 5.477 0.000
0.000 0.000 8.681
Ca Rh As Ge
3 9 2 1
direct
0.000 0.000 0.000
0.333 0.667 0.681
0.667 0.333 0.319
0.000 0.500 0.000
0.141 0.282 0.281
0.282 0.141 0.719
0.718 0.859 0.281
0.859 0.141 0.719
0.500 0.500 0.000
0.859 0.718 0.719
0.141 0.859 0.281
0.500 0.000 0.000
0.333 0.667 0.178
0.667 0.333 0.822
0.000 0.000 0.500
```

Calculated values
Theoretical density in Mg/m³: 7.008
Formation energy from the elements in kJ per mole of atoms: -24.25
DOS(E_F) in states/eV/cell: 17.23
E_tot in eV per atom: -5.990
Crystal system: trigonal
Total magnetic moment in μB per atom: 0.000

DFT (PBE) results for a relaxed Ca2GeAsS crystal.

Structure (POSCAR):
```
Ca2GeAsS
1.0
5.553 0.000 0.000
0.000 4.854 0.000
0.000 0.000 5.553
Ge Ca As S
1 2 1 1
direct
0.000 0.500 0.000
0.500 0.000 0.000
0.000 0.000 0.500
0.000 0.000 0.000
0.500 0.500 0.500
```

Calculated values
Theoretical density in Mg/m³: 2.882
DOS(E_F) in states/eV/cell: 2.43
E_tot in eV per atom: -3.923
Crystal system: tetragonal
Total magnetic moment in μB per atom: 0.000

DFT (PBE) results for a relaxed CaGe2AsS6 crystal.

Structure (POSCAR):
```
CaGe2AsS6
1.0
-1.341 3.485 6.768
3.596 -4.627 5.984
6.740 4.615 1.848
S Ge Ca As
12 4 2 2
direct
0.409 0.926 0.365
0.909 0.365 0.926
0.053 0.706 0.591
0.343 0.194 0.007
0.553 0.591 0.706
0.843 0.007 0.194
0.091 0.635 0.074
0.591 0.074 0.635
0.447 0.409 0.294
0.157 0.993 0.806
0.947 0.294 0.409
0.657 0.806 0.993
0.187 0.380 0.215
0.687 0.215 0.380
0.813 0.620 0.785
0.313 0.785 0.620
0.750 0.136 0.864
0.250 0.864 0.136
0.750 0.755 0.245
0.250 0.245 0.755
```

Calculated values
Theoretical density in Mg/m³: 3.073
DOS(E_F) in states/eV/cell: 6.09
E_tot in eV per atom: -4.564
Crystal system: monoclinic
Total magnetic moment in μB per atom: 0.000

DFT (PBE) results for a relaxed CaGeAsSe2 crystal.

Structure (POSCAR):
```
CaGeAsSe2
1.0
-0.800 1.800 -4.742
1.708 -4.425 -1.967
-4.537 -1.789 0.086
Se As Ca Ge
2 1 1 1
direct
0.000 0.500 0.000
0.500 0.000 0.000
0.000 0.000 0.500
0.500 0.500 0.500
0.000 0.000 0.000
```

Calculated values
Theoretical density in Mg/m³: 4.462
DOS(E_F) in states/eV/cell: 4.50
E_tot in eV per atom: -3.911
Crystal system: tetragonal
Total magnetic moment in μB per atom: 0.000

DFT (PBE) results for a relaxed CaGeAsSe2 crystal.

Structure (POSCAR):
```
CaGeAsSe2
1.0
5.365 0.000 0.000
0.000 5.365 0.000
0.000 0.000 5.353
Ca Se Ge As
1 2 1 1
direct
0.000 0.000 0.000
0.000 0.500 0.000
0.500 0.000 0.000
0.500 0.500 0.500
0.000 0.000 0.500
```

Calculated values
Theoretical density in Mg/m³: 3.725
DOS(E_F) in states/eV/cell: 6.16
E_tot in eV per atom: -3.229
Crystal system: tetragonal
Total magnetic moment in μB per atom: 0.000

DFT (PBE) results for a relaxed CaGeAsSe2 crystal.

Structure (POSCAR):
```
CaGeAsSe2
1.0
5.297 0.000 0.000
0.000 4.751 0.000
0.000 0.000 5.297
Se Ca As Ge
2 1 1 1
direct
0.000 0.000 0.500
0.500 0.000 0.000
0.500 0.500 0.500
0.000 0.000 0.000
0.000 0.500 0.000
```

Calculated values
Theoretical density in Mg/m³: 4.305
DOS(E_F) in states/eV/cell: 3.05
E_tot in eV per atom: -3.816
Crystal system: tetragonal
Total magnetic moment in μB per atom: 0.000

DFT (PBE) results for a relaxed CaSnGeAs2 crystal.

Structure (POSCAR):
```
CaSnGeAs2
1.0
-3.356 2.558 3.234
0.485 -3.896 3.584
4.131 2.580 2.246
Sn Ca As Ge
1 1 2 1
direct
0.500 0.500 0.500
0.000 0.000 0.000
0.500 0.000 0.000
0.000 0.500 0.000
0.000 0.000 0.500
```

Calculated values
Theoretical density in Mg/m³: 4.176
Formation energy from the elements in kJ per mole of atoms: 66.08
DOS(E_F) in states/eV/cell: 3.59
E_tot in eV per atom: -3.299
Crystal system: tetragonal
Total magnetic moment in μB per atom: 0.000

DFT (PBE) results for a relaxed CaTlGe2As crystal.

Structure (POSCAR):
```
CaTlGe2As
1.0
5.416 0.000 0.000
0.000 5.728 0.000
0.000 0.000 5.416
Ca Ge Tl As
1 2 1 1
direct
0.000 0.000 0.000
0.000 0.000 0.500
0.500 0.000 0.000
0.000 0.500 0.000
0.500 0.500 0.500
```

Calculated values
Theoretical density in Mg/m³: 4.593
Formation energy from the elements in kJ per mole of atoms: 96.27
DOS(E_F) in states/eV/cell: 6.64
E_tot in eV per atom: -2.653
Crystal system: tetragonal
Total magnetic moment in μB per atom: 0.082

DFT (PBE) results for a relaxed Ca7As4H crystal.

Structure (POSCAR):
```
Ca7As4H
1.0
-2.198 -2.002 3.911
2.460 -8.248 0.246
5.295 0.288 6.209
As Ca H
4 7 1
direct
0.420 0.793 0.366
0.580 0.207 0.634
0.276 0.337 0.110
0.724 0.663 0.890
0.082 0.717 0.118
0.794 0.853 0.559
0.206 0.147 0.441
0.637 0.445 0.282
0.500 0.000 0.000
0.363 0.555 0.718
0.918 0.283 0.882
0.000 0.000 0.000
```

Calculated values
Theoretical density in Mg/m³: 3.071
DOS(E_F) in states/eV/cell: 3.38
E_tot in eV per atom: -3.996
Crystal system: monoclinic
Total magnetic moment in μB per atom: 0.000

DFT (PBE) results for a relaxed Ca8As5H crystal.

Structure (POSCAR):
```
Ca8As5H
1.0
7.314 0.000 -2.489
-3.661 6.279 -2.618
0.009 0.000 7.726
Ca As H
8 5 1
direct
0.499 0.614 0.262
0.115 0.763 0.501
0.738 0.237 0.352
0.648 0.386 0.885
0.134 0.754 0.016
0.984 0.117 0.738
0.262 0.246 0.380
0.620 0.883 0.866
0.752 0.617 0.634
0.366 0.117 0.983
0.865 0.883 0.248
0.017 0.383 0.135
0.500 0.000 0.500
0.250 0.500 0.750
```

Calculated values
Theoretical density in Mg/m³: 3.257
E_tot in eV per atom: -4.117
Crystal system: tetragonal
Total magnetic moment in μB per atom: 0.000